1.
A plane-wave DFT calculation with GGA-PBE was carried out for an optimized crystal structure of La2Sm4H.

Summary:
V in Å³ per cell: 439.33
Energy in Ha/atom: -0.1662
Calculated density in Mg/m³: 6.65
M_tot in μB per cell: 0.0

The structure in CIF format:
```
data_La2Sm4H
_symmetry_space_group_name_H-M 'I 4/m m m'
_symmetry_Int_Tables_number 139
_symmetry_space_group_name_Hall '-I 4 2'
_cell_length_a 4.968
_cell_length_b 4.968
_cell_length_c 17.803
_cell_angle_alpha 90.00
_cell_angle_beta 90.00
_cell_angle_gamma 90.00
loop_
_atom_site_label
_atom_site_fract_x
_atom_site_fract_y
_atom_site_fract_z
La1 0.000 0.000 0.150
Sm1 0.000 0.000 0.352
Sm2 0.000 0.500 0.000
H1 0.000 0.000 0.500
```


2.
A plane-wave DFT calculation with GGA-PBE was carried out for an optimized crystal structure of Tb2MnTl3S6.

Summary:
V in Å³ per cell: 599.10
Energy in Ha/atom: -0.1946
Calculated density in Mg/m³: 6.53
M_tot in μB per cell: 8.0

The structure in CIF format:
```
data_Tb2MnTl3S6
_symmetry_space_group_name_H-M 'C 1 2/m 1'
_symmetry_Int_Tables_number 12
_cell_length_a 6.910
_cell_length_b 11.579
_cell_length_c 7.880
_cell_angle_alpha 90.00
_cell_angle_beta 108.17
_cell_angle_gamma 90.00
loop_
_symmetry_equiv_pos_as_xyz
'x,y,z'
'-x,-y,-z'
'-x,y,-z'
'x,-y,z'
'x+1/2,y+1/2,z'
'-x+1/2,-y+1/2,-z'
'-x+1/2,y+1/2,-z'
'x+1/2,-y+1/2,z'
loop_
_atom_site_label
_atom_site_fract_x
_atom_site_fract_y
_atom_site_fract_z
Tb1 0.000 0.165 0.000
Mn1 0.000 0.500 0.000
Tl1 0.000 0.000 0.500
Tl2 0.000 0.328 0.500
S1 0.212 0.351 0.181
S2 0.243 0.000 0.217
```


3.
A plane-wave DFT calculation with GGA-PBE was carried out for an optimized crystal structure of TiTlF4.

Summary:
V in Å³ per cell: 230.49
Energy in Ha/atom: -0.2107
Calculated density in Mg/m³: 4.73
M_tot in μB per cell: 2.0

The structure in CIF format:
```
data_TiTlF4
_symmetry_space_group_name_H-M 'P m m n'
_symmetry_Int_Tables_number 59
_cell_length_a 4.026
_cell_length_b 8.188
_cell_length_c 6.991
_cell_angle_alpha 90.00
_cell_angle_beta 90.00
_cell_angle_gamma 90.00
loop_
_symmetry_equiv_pos_as_xyz
'x,y,z'
'-x,-y,-z'
'-x+1/2,-y+1/2,z'
'x+1/2,y+1/2,-z'
'x+1/2,-y,-z'
'-x+1/2,y,z'
'-x,y+1/2,-z'
'x,-y+1/2,z'
loop_
_atom_site_label
_atom_site_fract_x
_atom_site_fract_y
_atom_site_fract_z
Ti1 0.250 0.250 0.119
Tl1 0.250 0.750 0.410
F1 0.250 0.066 0.281
F2 0.250 0.250 0.846
F3 0.250 0.750 0.888
```


4.
A plane-wave DFT calculation with GGA-PBE was carried out for an optimized crystal structure of Tb3Er2Tm8.

Summary:
V in Å³ per cell: 394.36
Offset from the most stable computed form in meV/atom: 0.0
Formation energy from the elements in eV per formula unit: 0.32
Calculated density in Mg/m³: 9.11
M_tot in μB per cell: 0.0

The structure in CIF format:
```
data_Tb3Er2Tm8
_symmetry_space_group_name_H-M 'P -1'
_symmetry_Int_Tables_number 2
_cell_length_a 4.949
_cell_length_b 7.837
_cell_length_c 10.492
_cell_angle_alpha 85.73
_cell_angle_beta 76.36
_cell_angle_gamma 89.90
loop_
_symmetry_equiv_pos_as_xyz
'x,y,z'
'-x,-y,-z'
loop_
_atom_site_label
_atom_site_fract_x
_atom_site_fract_y
_atom_site_fract_z
Tb1 0.000 0.000 0.000
Tb2 0.461 0.693 0.077
Er1 0.231 0.846 0.538
Tm1 0.078 0.615 0.845
Tm2 0.155 0.231 0.691
Tm3 0.307 0.461 0.385
Tm4 0.384 0.078 0.232
```


5.
A plane-wave DFT calculation with GGA-PBE was carried out for an optimized crystal structure of CoMo2Br2.

Summary:
V in Å³ per cell: 168.06
Offset from the most stable computed form in meV/atom: 0.0
Calculated density in Mg/m³: 8.11
M_tot in μB per cell: 1.6

The structure in CIF format:
```
data_CoMo2Br2
_symmetry_space_group_name_H-M 'P 4/m b m'
_symmetry_Int_Tables_number 127
_symmetry_space_group_name_Hall '-P 4 2ab'
_cell_length_a 7.558
_cell_length_b 7.558
_cell_length_c 2.942
_cell_angle_alpha 90.00
_cell_angle_beta 90.00
_cell_angle_gamma 90.00
loop_
_atom_site_label
_atom_site_fract_x
_atom_site_fract_y
_atom_site_fract_z
Co1 0.000 0.000 0.000
Mo1 0.169 0.331 0.500
Br1 0.137 0.637 0.000
```


6.
A plane-wave DFT calculation with GGA-PBE was carried out for an optimized crystal structure of LiNbCuO4.

Summary:
V in Å³ per cell: 317.22
Offset from the most stable computed form in meV/atom: 9.4
Calculated density in Mg/m³: 4.76
M_tot in μB per cell: 4.1

The structure in CIF format:
```
data_LiNbCuO4
_symmetry_space_group_name_H-M 'P 43 2 2'
_symmetry_Int_Tables_number 95
_cell_length_a 6.257
_cell_length_b 6.257
_cell_length_c 8.102
_cell_angle_alpha 90.00
_cell_angle_beta 90.00
_cell_angle_gamma 90.00
loop_
_symmetry_equiv_pos_as_xyz
'x,y,z'
'-y,x,z+3/4'
'-x,-y,z+1/2'
'y,-x,z+1/4'
'x,-y,-z+1/2'
'-y,-x,-z+3/4'
'-x,y,-z'
'y,x,-z+1/4'
loop_
_atom_site_label
_atom_site_fract_x
_atom_site_fract_y
_atom_site_fract_z
Li1 0.000 0.210 0.000
Nb1 0.210 0.500 0.250
Cu1 0.261 0.261 0.625
O1 0.018 0.264 0.261
O2 0.266 0.472 0.006
```


7.
A plane-wave DFT calculation with GGA-PBE was carried out for an optimized crystal structure of Ho4TePb3.

Summary:
V in Å³ per cell: 481.40
Energy in Ha/atom: -0.1727
Calculated density in Mg/m³: 9.72
M_tot in μB per cell: 0.0

The structure in CIF format:
```
data_Ho4TePb3
_symmetry_space_group_name_H-M 'C 1 2/m 1'
_symmetry_Int_Tables_number 12
_cell_length_a 12.513
_cell_length_b 9.497
_cell_length_c 4.083
_cell_angle_alpha 90.00
_cell_angle_beta 97.11
_cell_angle_gamma 90.00
loop_
_symmetry_equiv_pos_as_xyz
'x,y,z'
'-x,-y,-z'
'-x,y,-z'
'x,-y,z'
'x+1/2,y+1/2,z'
'-x+1/2,-y+1/2,-z'
'-x+1/2,y+1/2,-z'
'x+1/2,-y+1/2,z'
loop_
_atom_site_label
_atom_site_fract_x
_atom_site_fract_y
_atom_site_fract_z
Ho1 0.000 0.246 0.000
Ho2 0.250 0.000 0.512
Te1 0.000 0.000 0.500
Pb1 0.000 0.500 0.500
Pb2 0.250 0.250 0.000
```


8.
A plane-wave DFT calculation with GGA-PBE was carried out for an optimized crystal structure of Mg3Si4.

Summary:
V in Å³ per cell: 249.92
Offset from the most stable computed form in meV/atom: 87.8
Calculated density in Mg/m³: 2.46
M_tot in μB per cell: 0.0

The structure in CIF format:
```
data_Mg3Si4
_symmetry_space_group_name_H-M 'P 1'
_symmetry_Int_Tables_number 1
_cell_length_a 6.163
_cell_length_b 6.756
_cell_length_c 6.986
_cell_angle_alpha 111.21
_cell_angle_beta 100.51
_cell_angle_gamma 104.67
loop_
_symmetry_equiv_pos_as_xyz
'x,y,z'
loop_
_atom_site_label
_atom_site_fract_x
_atom_site_fract_y
_atom_site_fract_z
Mg1 0.000 0.000 0.000
Mg2 0.073 0.547 0.935
Mg3 0.386 0.461 0.231
Mg4 0.500 0.994 0.081
Mg5 0.654 0.356 0.542
Mg6 0.835 0.911 0.445
Si1 0.103 0.699 0.614
Si2 0.129 0.306 0.478
Si3 0.322 0.247 0.796
Si4 0.324 0.881 0.389
Si5 0.515 0.736 0.659
Si6 0.657 0.626 0.993
Si7 0.681 0.152 0.802
Si8 0.840 0.432 0.220
```